No. 1
{
  "formula": "Cs4KBi4",
  "functional": "GGA-PBE",
  "state": "relaxed",
  "dos_at_fermi_per_ev_atom": 0.868,
  "ef_mev_per_atom": -255,
  "lattice": [[11.646, 0.000, 0.000], [0.000, 11.646, 0.000], [0.000, 0.000, 7.917]],
  "species": ["Cs", "Cs", "Cs", "Cs", "Cs", "Cs", "Cs", "Cs", "K", "K", "Bi", "Bi", "Bi", "Bi", "Bi", "Bi", "Bi", "Bi"],
  "fractional_positions": [[0.053, 0.669, 0.095], [0.169, 0.947, 0.595], [0.331, 0.553, 0.595], [0.447, 0.831, 0.095], [0.553, 0.169, 0.905], [0.669, 0.447, 0.405], [0.831, 0.053, 0.405], [0.947, 0.331, 0.905], [0.250, 0.250, 0.250], [0.750, 0.750, 0.750], [0.002, 0.389, 0.414], [0.111, 0.002, 0.086], [0.389, 0.498, 0.086], [0.498, 0.111, 0.414], [0.502, 0.889, 0.586], [0.611, 0.502, 0.914], [0.889, 0.998, 0.914], [0.998, 0.611, 0.586]]
}

=====

No. 2
{
  "formula": "Cs5KBi2",
  "functional": "GGA-PBE",
  "state": "relaxed",
  "dos_at_fermi_per_ev_atom": 0.972,
  "ef_mev_per_atom": -306,
  "lattice": [[3.368, 1.945, 12.246], [-3.368, 1.945, 12.246], [0.000, -3.889, 12.246]],
  "species": ["Cs", "Cs", "Cs", "Cs", "Cs", "K", "Bi", "Bi"],
  "fractional_positions": [[0.000, 0.000, 0.000], [0.112, 0.112, 0.112], [0.287, 0.287, 0.287], [0.713, 0.713, 0.713], [0.888, 0.888, 0.888], [0.500, 0.500, 0.500], [0.403, 0.403, 0.403], [0.597, 0.597, 0.597]]
}

=====

No. 3
{
  "formula": "Cs2K4Bi",
  "functional": "GGA-PBE",
  "state": "relaxed",
  "dos_at_fermi_per_ev_atom": 0.608,
  "ef_mev_per_atom": -116,
  "lattice": [[-3.475, 3.475, 11.647], [3.475, -3.475, 11.647], [3.475, 3.475, -11.647]],
  "species": ["Cs", "Cs", "K", "K", "K", "K", "Bi"],
  "fractional_positions": [[0.154, 0.154, 0.000], [0.846, 0.846, 0.000], [0.000, 0.500, 0.500], [0.352, 0.352, 0.000], [0.500, 0.000, 0.500], [0.648, 0.648, 0.000], [0.500, 0.500, 0.000]]
}

=====

No. 4
{
  "formula": "CsK2Bi",
  "functional": "GGA-PBE",
  "state": "relaxed",
  "dos_at_fermi_per_ev_atom": 0.194,
  "ef_mev_per_atom": -127,
  "lattice": [[-3.022, 3.022, 12.241], [3.022, -3.022, 12.241], [3.022, 3.022, -12.241]],
  "species": ["Cs", "Cs", "K", "K", "K", "K", "Bi", "Bi"],
  "fractional_positions": [[0.000, 0.000, 0.000], [0.750, 0.250, 0.500], [0.191, 0.625, 0.066], [0.375, 0.441, 0.566], [0.559, 0.125, 0.934], [0.875, 0.809, 0.434], [0.250, 0.750, 0.500], [0.500, 0.500, 0.000]]
}

=====

No. 5
{
  "formula": "CsK2Bi2",
  "functional": "GGA-PBE",
  "state": "relaxed",
  "dos_at_fermi_per_ev_atom": 0.825,
  "ef_mev_per_atom": -294,
  "de_polymorph_mev_per_atom": 2,
  "lattice": [[9.769, 0.000, 0.000], [0.000, 9.769, 0.000], [0.000, 0.000, 5.086]],
  "species": ["Cs", "Cs", "K", "K", "K", "K", "Bi", "Bi", "Bi", "Bi"],
  "fractional_positions": [[0.000, 0.000, 0.000], [0.500, 0.500, 0.000], [0.165, 0.335, 0.500], [0.335, 0.835, 0.500], [0.665, 0.165, 0.500], [0.835, 0.665, 0.500], [0.109, 0.609, 0.000], [0.391, 0.109, 0.000], [0.609, 0.891, 0.000], [0.891, 0.391, 0.000]]
}

=====

No. 6
{
  "formula": "CsK2Bi2",
  "functional": "GGA-PBE",
  "state": "relaxed",
  "dos_at_fermi_per_ev_atom": 0.387,
  "ef_mev_per_atom": -258,
  "de_polymorph_mev_per_atom": 38,
  "lattice": [[9.910, 0.000, 0.000], [0.000, 9.910, 0.000], [0.000, 0.000, 4.400]],
  "species": ["Cs", "Cs", "K", "K", "K", "K", "Bi", "Bi", "Bi", "Bi"],
  "fractional_positions": [[0.000, 0.000, 0.000], [0.500, 0.500, 0.000], [0.171, 0.329, 0.000], [0.329, 0.829, 0.000], [0.671, 0.171, 0.000], [0.829, 0.671, 0.000], [0.112, 0.612, 0.500], [0.388, 0.112, 0.500], [0.612, 0.888, 0.500], [0.888, 0.388, 0.500]]
}

=====

No. 7
{
  "formula": "Cs2KBi2",
  "functional": "GGA-PBE",
  "state": "relaxed",
  "dos_at_fermi_per_ev_atom": 1.527,
  "ef_mev_per_atom": -164,
  "de_polymorph_mev_per_atom": 162,
  "lattice": [[-2.937, 2.937, 8.098], [2.937, -2.937, 8.098], [2.937, 2.937, -8.098]],
  "species": ["Cs", "Cs", "K", "Bi", "Bi"],
  "fractional_positions": [[0.250, 0.750, 0.500], [0.750, 0.250, 0.500], [0.000, 0.000, 0.000], [0.409, 0.409, 0.000], [0.591, 0.591, 0.000]]
}

=====

No. 8
{
  "formula": "CsK3Bi",
  "functional": "GGA-PBE",
  "state": "relaxed",
  "dos_at_fermi_per_ev_atom": 0.610,
  "ef_mev_per_atom": -229,
  "de_polymorph_mev_per_atom": 0,
  "lattice": [[6.589, 0.000, 0.000], [0.000, 5.481, 4.531], [0.000, -5.481, 4.531]],
  "species": ["Cs", "K", "K", "K", "Bi"],
  "fractional_positions": [[0.000, 0.000, 0.000], [0.000, 0.434, 0.434], [0.500, 0.391, 0.813], [0.500, 0.813, 0.391], [0.500, 0.282, 0.282]]
}

=====

No. 9
{
  "formula": "Cs2KBi2",
  "functional": "GGA-PBE",
  "state": "relaxed",
  "dos_at_fermi_per_ev_atom": 0.832,
  "ef_mev_per_atom": 82,
  "de_polymorph_mev_per_atom": 407,
  "lattice": [[-3.209, 3.209, 7.023], [3.209, -3.209, 7.023], [3.209, 3.209, -7.023]],
  "species": ["Cs", "Cs", "K", "Bi", "Bi"],
  "fractional_positions": [[0.128, 0.128, 0.000], [0.872, 0.872, 0.000], [0.500, 0.500, 0.000], [0.250, 0.750, 0.500], [0.750, 0.250, 0.500]]
}

=====

No. 10
{
  "formula": "CsK2Bi",
  "functional": "GGA-PBE",
  "state": "relaxed",
  "dos_at_fermi_per_ev_atom": 0.593,
  "ef_mev_per_atom": -192,
  "lattice": [[5.894, 0.000, 0.000], [0.000, 5.894, 0.000], [0.000, 0.000, 5.524]],
  "species": ["Cs", "K", "K", "Bi"],
  "fractional_positions": [[0.000, 0.000, 0.000], [0.000, 0.500, 0.500], [0.500, 0.000, 0.500], [0.500, 0.500, 0.000]]
}

=====

No. 11
{
  "formula": "Cs2KBi2",
  "functional": "GGA-PBE",
  "state": "relaxed",
  "dos_at_fermi_per_ev_atom": 0.811,
  "ef_mev_per_atom": -153,
  "de_polymorph_mev_per_atom": 173,
  "lattice": [[11.599, 0.000, 0.000], [0.000, 11.599, 0.000], [0.000, 0.000, 3.629]],
  "species": ["Cs", "Cs", "Cs", "Cs", "K", "K", "Bi", "Bi", "Bi", "Bi"],
  "fractional_positions": [[0.117, 0.383, 0.000], [0.383, 0.883, 0.000], [0.617, 0.117, 0.000], [0.883, 0.617, 0.000], [0.000, 0.000, 0.000], [0.500, 0.500, 0.000], [0.181, 0.681, 0.500], [0.319, 0.181, 0.500], [0.681, 0.819, 0.500], [0.819, 0.319, 0.500]]
}

=====

No. 12
{
  "formula": "CsK3Bi",
  "functional": "GGA-PBE",
  "state": "relaxed",
  "dos_at_fermi_per_ev_atom": 0.523,
  "ef_mev_per_atom": -175,
  "de_polymorph_mev_per_atom": 54,
  "lattice": [[11.242, -6.708, 0.000], [11.242, 6.708, 0.000], [-1.759, 0.000, 8.390]],
  "species": ["Cs", "Cs", "Cs", "Cs", "K", "K", "K", "K", "K", "K", "K", "K", "K", "K", "K", "K", "Bi", "Bi", "Bi", "Bi"],
  "fractional_positions": [[0.075, 0.925, 0.750], [0.385, 0.615, 0.250], [0.615, 0.385, 0.750], [0.925, 0.075, 0.250], [0.001, 0.661, 0.425], [0.014, 0.657, 0.920], [0.335, 0.340, 0.410], [0.339, 0.999, 0.075], [0.340, 0.335, 0.910], [0.343, 0.986, 0.580], [0.657, 0.014, 0.420], [0.660, 0.665, 0.090], [0.661, 0.001, 0.925], [0.665, 0.660, 0.590], [0.986, 0.343, 0.080], [0.999, 0.339, 0.575], [0.262, 0.593, 0.713], [0.407, 0.738, 0.787], [0.593, 0.262, 0.213], [0.738, 0.407, 0.287]]
}

=====

No. 13
{
  "formula": "Cs3KBi",
  "functional": "GGA-PBE",
  "state": "relaxed",
  "dos_at_fermi_per_ev_atom": 3.239,
  "ef_mev_per_atom": 382,
  "lattice": [[7.554, 0.000, 0.000], [0.000, 7.554, 0.000], [0.000, 0.000, 7.554]],
  "species": ["Cs", "Cs", "Cs", "K", "Bi"],
  "fractional_positions": [[0.000, 0.000, 0.500], [0.000, 0.500, 0.000], [0.500, 0.000, 0.000], [0.000, 0.000, 0.000], [0.500, 0.500, 0.500]]
}

=====

No. 14
{
  "formula": "CsK2Bi",
  "functional": "GGA-PBE",
  "state": "relaxed",
  "dos_at_fermi_per_ev_atom": 1.251,
  "ef_mev_per_atom": -316,
  "lattice": [[3.092, 1.785, 6.677], [-3.092, 1.785, 6.677], [0.000, -3.570, 6.677]],
  "species": ["Cs", "K", "K", "Bi"],
  "fractional_positions": [[0.000, 0.000, 0.000], [0.198, 0.198, 0.198], [0.459, 0.459, 0.459], [0.795, 0.795, 0.795]]
}

=====

No. 15
{
  "formula": "CsK3Bi",
  "functional": "GGA-PBE",
  "state": "relaxed",
  "dos_at_fermi_per_ev_atom": 1.169,
  "ef_mev_per_atom": -192,
  "de_polymorph_mev_per_atom": 37,
  "lattice": [[7.018, 0.000, 0.000], [0.000, 7.018, 0.000], [0.000, 0.000, 7.018]],
  "species": ["Cs", "K", "K", "K", "Bi"],
  "fractional_positions": [[0.000, 0.000, 0.000], [0.000, 0.500, 0.500], [0.500, 0.000, 0.500], [0.500, 0.500, 0.000], [0.500, 0.500, 0.500]]
}

=====

No. 16
{
  "formula": "CsK3Bi",
  "functional": "GGA-PBE",
  "state": "relaxed",
  "dos_at_fermi_per_ev_atom": 1.190,
  "ef_mev_per_atom": 529,
  "de_polymorph_mev_per_atom": 759,
  "lattice": [[6.878, 0.000, 0.000], [0.000, 6.878, 0.000], [0.000, 0.000, 6.878]],
  "species": ["Cs", "K", "K", "K", "Bi"],
  "fractional_positions": [[0.000, 0.000, 0.000], [0.000, 0.000, 0.500], [0.000, 0.500, 0.000], [0.500, 0.000, 0.000], [0.500, 0.500, 0.500]]
}

=====

No. 17
{
  "formula": "CsKBi",
  "functional": "GGA-PBE",
  "state": "relaxed",
  "dos_at_fermi_per_ev_atom": 0.637,
  "ef_mev_per_atom": -234,
  "de_polymorph_mev_per_atom": 92,
  "lattice": [[13.396, -2.902, 0.000], [13.396, 2.902, 0.000], [-0.929, 0.000, 4.922]],
  "species": ["Cs", "Cs", "K", "K", "Bi", "Bi"],
  "fractional_positions": [[0.000, 0.000, 0.000], [0.653, 0.653, 0.652], [0.277, 0.277, 0.272], [0.386, 0.386, 0.879], [0.803, 0.803, 0.798], [0.876, 0.876, 0.371]]
}

=====

No. 18
{
  "formula": "CsKBi",
  "functional": "GGA-PBE",
  "state": "relaxed",
  "dos_at_fermi_per_ev_atom": 0.535,
  "ef_mev_per_atom": -277,
  "de_polymorph_mev_per_atom": 49,
  "lattice": [[6.235, 0.000, 0.000], [-3.118, 5.400, 0.000], [0.000, 0.000, 3.761]],
  "species": ["Cs", "K", "Bi"],
  "fractional_positions": [[0.000, 0.000, 0.000], [0.333, 0.667, 0.059], [0.667, 0.333, 0.519]]
}

=====

No. 19
{
  "formula": "CsKBi",
  "functional": "GGA-PBE",
  "state": "relaxed",
  "dos_at_fermi_per_ev_atom": 0.722,
  "ef_mev_per_atom": -326,
  "de_polymorph_mev_per_atom": 0,
  "lattice": [[5.308, -3.064, 0.000], [5.308, 3.064, 0.000], [-0.008, 0.000, 9.406]],
  "species": ["Cs", "Cs", "K", "K", "Bi", "Bi"],
  "fractional_positions": [[0.166, 0.166, 0.133], [0.834, 0.834, 0.867], [0.167, 0.167, 0.565], [0.833, 0.833, 0.435], [0.500, 0.500, 0.330], [0.500, 0.500, 0.670]]
}

=====

No. 20
{
  "formula": "Cs2KBi2",
  "functional": "GGA-PBE",
  "state": "relaxed",
  "dos_at_fermi_per_ev_atom": 0.941,
  "ef_mev_per_atom": -301,
  "de_polymorph_mev_per_atom": 24,
  "lattice": [[9.363, 0.000, 0.000], [0.000, 9.363, 0.000], [0.000, 0.000, 6.095]],
  "species": ["Cs", "Cs", "Cs", "Cs", "K", "K", "Bi", "Bi", "Bi", "Bi"],
  "fractional_positions": [[0.167, 0.333, 0.000], [0.333, 0.833, 0.000], [0.667, 0.167, 0.000], [0.833, 0.667, 0.000], [0.000, 0.000, 0.500], [0.500, 0.500, 0.500], [0.114, 0.614, 0.500], [0.386, 0.114, 0.500], [0.614, 0.886, 0.500], [0.886, 0.386, 0.500]]
}